VASP calculation (GGA-PBE) on an optimized crystal structure of TmLuPuPa.

Results
E = -7.935 eV per atom
Calculated formation energy = 104 kJ/mol of formula units

Cell and atoms, written as POSCAR:
```
TmLuPuPa
1.0
5.367 0.000 0.000
2.684 4.648 0.000
2.684 1.549 4.382
Pa Tm Lu Pu
1 1 1 1
direct
0.500 0.500 0.500
0.250 0.250 0.250
0.000 0.000 0.000
0.750 0.750 0.750
```